Entry 1
Density functional theory data (PBE-GGA) for an optimized crystal structure of KSrAl.

POSCAR file:
```
KSrAl
1.0
-2.0611 2.0611 7.5798
2.0611 -2.0611 7.5798
2.0611 2.0611 -7.5798
K Sr Al
1 1 1
Direct
0.0000 0.0000 0.0000
0.2606 0.2606 0.0000
0.6564 0.6564 0.0000
```

Computed properties:
The space-group type is I4mm, No. 107. Its spin magnetization is 0.00 μB per cell.

Entry 2
Density functional theory data (PBE-GGA) for an optimized crystal structure of KSrAl.

POSCAR file:
```
KSrAl
1.0
2.4250 -12.5320 0.0000
2.4250 12.5320 0.0000
0.0000 0.0000 4.5368
K Sr Al
2 2 2
Direct
0.1845 0.8155 0.7500
0.8155 0.1845 0.2500
0.4333 0.5667 0.7500
0.5667 0.4333 0.2500
0.0279 0.9721 0.7500
0.9721 0.0279 0.2500
```

Computed properties:
The space-group type is Cmcm, No. 63. Its spin magnetization is 0.00 μB per cell.

Least stable: entry 1

Entry 1
Density functional theory data (PBE-GGA) for an optimized crystal structure of KSrAl3.

POSCAR file:
```
KSrAl3
1.0
6.0631 0.0000 0.0000
0.0000 6.0631 0.0000
0.0000 0.0000 6.0631
K Sr Al
1 1 3
Direct
0.0000 0.0000 0.0000
0.5000 0.5000 0.5000
0.0000 0.5000 0.5000
0.5000 0.0000 0.5000
0.5000 0.5000 0.0000
```

Computed properties:
The space-group type is Pm-3m, No. 221. Its spin magnetization is 0.00 μB per cell.

Entry 2
Density functional theory data (PBE-GGA) for an optimized crystal structure of KSrAl3.

POSCAR file:
```
KSrAl3
1.0
5.6636 0.0000 0.0000
0.0000 5.6636 0.0000
0.0000 0.0000 5.6636
K Sr Al
1 1 3
Direct
0.0000 0.0000 0.0000
0.5000 0.5000 0.5000
0.0000 0.0000 0.5000
0.0000 0.5000 0.0000
0.5000 0.0000 0.0000
```

Computed properties:
The space-group type is Pm-3m, No. 221. Its spin magnetization is 0.00 μB per cell.

Least stable: entry 2

Entry 1
Density functional theory data (PBE-GGA) for an optimized crystal structure of KSrTi2Al.

POSCAR file:
```
KSrTi2Al
1.0
5.2020 0.0000 0.0000
0.0000 5.2020 0.0000
0.0000 0.0000 6.0788
K Sr Ti Al
1 1 2 1
Direct
0.0000 0.0000 0.0000
0.5000 0.5000 0.0000
0.0000 0.5000 0.5000
0.5000 0.0000 0.5000
0.0000 0.0000 0.5000
```

Computed properties:
The space-group type is P4/mmm, No. 123. Its spin magnetization is 4.14 μB per cell.

Entry 2
Density functional theory data (PBE-GGA) for an optimized crystal structure of KSrTi2Al.

POSCAR file:
```
KSrTi2Al
1.0
4.9344 0.0000 0.0000
0.0000 4.9344 0.0000
0.0000 0.0000 5.6352
K Sr Ti Al
1 1 2 1
Direct
0.0000 0.0000 0.0000
0.5000 0.5000 0.5000
0.0000 0.5000 0.0000
0.5000 0.0000 0.0000
0.0000 0.0000 0.5000
```

Computed properties:
The space-group type is P4/mmm, No. 123. Its spin magnetization is 2.08 μB per cell.

Least stable: entry 2

Entry 1
Density functional theory data (PBE-GGA) for an optimized crystal structure of KTa3Al.

POSCAR file:
```
KTa3Al
1.0
4.6226 0.0000 0.0000
0.0000 4.6226 0.0000
0.0000 0.0000 4.6226
K Ta Al
1 3 1
Direct
0.0000 0.0000 0.0000
0.0000 0.0000 0.5000
0.0000 0.5000 0.0000
0.5000 0.0000 0.0000
0.5000 0.5000 0.5000
```

Computed properties:
The space-group type is Pm-3m, No. 221. Its spin magnetization is 0.00 μB per cell.

Entry 2
Density functional theory data (PBE-GGA) for an optimized crystal structure of KTa3Al.

POSCAR file:
```
KTa3Al
1.0
4.9379 0.0000 0.0000
0.0000 4.9379 0.0000
0.0000 0.0000 4.9379
K Ta Al
1 3 1
Direct
0.0000 0.0000 0.0000
0.0000 0.5000 0.5000
0.5000 0.0000 0.5000
0.5000 0.5000 0.0000
0.5000 0.5000 0.5000
```

Computed properties:
The space-group type is Pm-3m, No. 221. Its spin magnetization is 0.00 μB per cell.

Least stable: entry 1

Entry 1
Density functional theory data (PBE-GGA) for an optimized crystal structure of KAlTc.

POSCAR file:
```
KAlTc
1.0
0.0000 2.2721 7.9420
1.6468 0.0000 7.9420
1.6468 2.2721 0.0000
K Al Tc
1 1 1
Direct
0.0000 0.0000 0.0000
0.3077 0.3077 0.6923
0.6824 0.6824 0.3176
```

Computed properties:
The space-group type is Fmm2, No. 42. Its spin magnetization is 0.00 μB per cell.

Entry 2
Density functional theory data (PBE-GGA) for an optimized crystal structure of KAlTc.

POSCAR file:
```
KAlTc
1.0
-1.3839 2.0991 6.2102
1.3839 -2.0991 6.2102
1.3839 2.0991 -6.2102
K Al Tc
1 1 1
Direct
0.0000 0.0000 0.0000
0.2708 0.2708 0.0000
0.7237 0.7237 0.0000
```

Computed properties:
The space-group type is Imm2, No. 44. Its spin magnetization is 0.42 μB per cell.

Entry 3
Density functional theory data (PBE-GGA) for an optimized crystal structure of KAlTc.

POSCAR file:
```
KAlTc
1.0
0.0000 3.3811 3.3811
3.3811 0.0000 3.3811
3.3811 3.3811 0.0000
K Al Tc
1 1 1
Direct
0.0000 0.0000 0.0000
0.5000 0.5000 0.5000
0.7500 0.7500 0.7500
```

Computed properties:
The space-group type is F-43m, No. 216. Its spin magnetization is 2.22 μB per cell.

Least stable: entry 3

Entry 1
Density functional theory data (PBE-GGA) for an optimized crystal structure of KAlTc.

POSCAR file:
```
KAlTc
1.0
-1.3947 1.3947 7.7865
1.3947 -1.3947 7.7865
1.3947 1.3947 -7.7865
K Al Tc
1 1 1
Direct
0.0000 0.0000 0.0000
0.6906 0.6906 0.0000
0.3118 0.3118 0.0000
```

Computed properties:
The space-group type is I4mm, No. 107. Its spin magnetization is 0.00 μB per cell.

Entry 2
Density functional theory data (PBE-GGA) for an optimized crystal structure of KAlTc.

POSCAR file:
```
KAlTc
1.0
0.0000 3.5516 3.5516
3.5516 0.0000 3.5516
3.5516 3.5516 0.0000
K Al Tc
1 1 1
Direct
0.0000 0.0000 0.0000
0.2500 0.2500 0.2500
0.7500 0.7500 0.7500
```

Computed properties:
The space-group type is F-43m, No. 216. Its spin magnetization is 3.23 μB per cell.

Least stable: entry 2

Entry 1
Density functional theory data (PBE-GGA) for an optimized crystal structure of KAlTc.

POSCAR file:
```
KAlTc
1.0
-1.7480 1.7480 6.2548
1.7480 -1.7480 6.2548
1.7480 1.7480 -6.2548
K Al Tc
1 1 1
Direct
0.0000 0.0000 0.0000
0.7412 0.7412 0.0000
0.2645 0.2645 0.0000
```

Computed properties:
The space-group type is I4mm, No. 107. Its spin magnetization is 1.17 μB per cell.

Entry 2
Density functional theory data (PBE-GGA) for an optimized crystal structure of KAlTc.

POSCAR file:
```
KAlTc
1.0
2.9134 0.0000 0.0000
-1.4567 2.5231 0.0000
0.0000 0.0000 8.0716
K Al Tc
1 1 1
Direct
0.0000 0.0000 0.0000
0.3333 0.6667 0.6152
0.6667 0.3333 0.3629
```

Computed properties:
The space-group type is P3m1, No. 156. Its spin magnetization is 0.00 μB per cell.

Least stable: entry 2

Entry 1
Density functional theory data (PBE-GGA) for an optimized crystal structure of KAlTc3.

POSCAR file:
```
KAlTc3
1.0
4.7406 0.0000 0.0000
0.0000 4.7406 0.0000
0.0000 0.0000 4.7406
K Al Tc
1 1 3
Direct
0.0000 0.0000 0.0000
0.5000 0.5000 0.5000
0.0000 0.5000 0.5000
0.5000 0.0000 0.5000
0.5000 0.5000 0.0000
```

Computed properties:
The space-group type is Pm-3m, No. 221. Its spin magnetization is 4.76 μB per cell.

Entry 2
Density functional theory data (PBE-GGA) for an optimized crystal structure of KAlTc3.

POSCAR file:
```
KAlTc3
1.0
4.5113 0.0000 0.0000
0.0000 4.5113 0.0000
0.0000 0.0000 4.5113
K Al Tc
1 1 3
Direct
0.0000 0.0000 0.0000
0.5000 0.5000 0.5000
0.0000 0.0000 0.5000
0.0000 0.5000 0.0000
0.5000 0.0000 0.0000
```

Computed properties:
The space-group type is Pm-3m, No. 221. Its spin magnetization is 2.27 μB per cell.

Least stable: entry 2